No. 1
Material: Ac8CdIn2
Method: DFT, PBE
State: relaxed

Summary:
Crystal system = monoclinic
Energy of formation from the pure elements = -166 meV per atom
SG = C2/m, No. 12
Density = 8.20 g cm⁻³
Energy relative to the lowest polymorph listed for this composition = 0 meV per atom
E_tot = -3.735 eV per atom

Unit cell a=10.6665 b=10.6665 c=7.6296 alpha=102.35 beta=102.35 gamma=31.08
Element x y z (fractional)
Ac: 0.0202 0.0202 0.2659
Ac: 0.2044 0.2044 0.8044
Ac: 0.3406 0.3406 0.5313
Ac: 0.4071 0.4071 0.0368
Ac: 0.5929 0.5929 0.9632
Ac: 0.6594 0.6594 0.4687
Ac: 0.7956 0.7956 0.1956
Ac: 0.9798 0.9798 0.7341
Cd: 0.5000 0.5000 0.5000
In: 0.1869 0.1869 0.2391
In: 0.8131 0.8131 0.7609



No. 2
Material: UHgCl6
Method: DFT, PBE
State: relaxed

Summary:
Crystal system = monoclinic
SG = C2/m, No. 12
Formation energy (no corrections) = -1.30 eV/atom
Density = 3.47 g cm⁻³
E_tot = -4.129 eV per atom

Unit cell a=6.8649 b=6.8649 c=6.8491 alpha=97.12 beta=97.12 gamma=99.87
Element x y z (fractional)
U: 0.0000 0.0000 0.0000
Hg: 0.5000 0.5000 0.5000
Cl: 0.0760 0.7432 0.7492
Cl: 0.2551 0.2551 0.9019
Cl: 0.2568 0.9240 0.2508
Cl: 0.7432 0.0760 0.7492
Cl: 0.7449 0.7449 0.0981
Cl: 0.9240 0.2568 0.2508



No. 3
Material: CaMg3Sb
Method: DFT, PBE
State: relaxed

Summary:
Crystal system = cubic
SG = Pm-3m, No. 221
Formation energy (no corrections) = 0.94 eV/atom
Density = 2.04 g cm⁻³
Energy relative to the lowest polymorph listed for this composition = 758 meV per atom
E_tot = -1.245 eV per atom

Unit cell a=5.7602 b=5.7602 c=5.7602 alpha=90.00 beta=90.00 gamma=90.00
Element x y z (fractional)
Ca: 0.0000 0.0000 0.0000
Mg: 0.0000 0.0000 0.5000
Mg: 0.0000 0.5000 0.0000
Mg: 0.5000 0.0000 0.0000
Sb: 0.5000 0.5000 0.5000



No. 4
Material: SrScUO6
Method: DFT, PBE
State: relaxed

Summary:
Crystal system = tetragonal
SG = P4_2nm, No. 102
Formation energy (no corrections) = -2.94 eV/atom
Density = 5.61 g cm⁻³
E_tot = -8.387 eV per atom

Unit cell a=5.1812 b=5.1812 c=10.2874 alpha=90.00 beta=90.00 gamma=90.00
Element x y z (fractional)
Sr: 0.0000 0.0000 0.0000
Sr: 0.5000 0.5000 0.5000
Sc: 0.0000 0.0000 0.3322
Sc: 0.5000 0.5000 0.8322
U: 0.0000 0.0000 0.6613
U: 0.5000 0.5000 0.1613
O: 0.1702 0.1702 0.5010
O: 0.2083 0.2083 0.7991
O: 0.2122 0.2122 0.1887
O: 0.2878 0.7122 0.6887
O: 0.2917 0.7083 0.2991
O: 0.3298 0.6702 0.0010
O: 0.6702 0.3298 0.0010
O: 0.7083 0.2917 0.2991
O: 0.7122 0.2878 0.6887
O: 0.7878 0.7878 0.1887
O: 0.7917 0.7917 0.7991
O: 0.8298 0.8298 0.5010



No. 5
Material: SmPuFeIr
Method: DFT, PBE
State: relaxed

Summary:
Crystal system = cubic
Energy of formation from the pure elements = -203 meV per atom
SG = F-43m, No. 216
Density = 13.14 g cm⁻³
E_tot = -9.297 eV per atom

Unit cell a=4.8605 b=4.8605 c=4.8605 alpha=60.00 beta=60.00 gamma=60.00
Element x y z (fractional)
Sm: 0.0000 0.0000 0.0000
Pu: 0.5000 0.5000 0.5000
Fe: 0.2500 0.2500 0.2500
Ir: 0.7500 0.7500 0.7500



No. 6
Material: Ho2ScCdAu4
Method: DFT, PBE
State: relaxed

Summary:
Crystal system = trigonal
Energy of formation from the pure elements = -779 meV per atom
SG = R-3m, No. 166
Density = 12.37 g cm⁻³
E_tot = -4.468 eV per atom

Unit cell a=8.6529 b=8.6529 c=8.6529 alpha=33.01 beta=33.01 gamma=33.01
Element x y z (fractional)
Ho: 0.2445 0.2445 0.2445
Ho: 0.7555 0.7555 0.7555
Sc: 0.0000 0.0000 0.0000
Cd: 0.5000 0.5000 0.5000
Au: 0.1185 0.1185 0.1185
Au: 0.3641 0.3641 0.3641
Au: 0.6359 0.6359 0.6359
Au: 0.8815 0.8815 0.8815



No. 7
Material: YHgAu3
Method: DFT, PBE
State: relaxed

Summary:
Crystal system = cubic
Energy of formation from the pure elements = 285 meV per atom
SG = Pm-3m, No. 221
Density = 8.44 g cm⁻³
Energy relative to the lowest polymorph listed for this composition = 43 meV per atom
E_tot = -3.035 eV per atom

Unit cell a=5.5746 b=5.5746 c=5.5746 alpha=90.00 beta=90.00 gamma=90.00
Element x y z (fractional)
Y: 0.0000 0.0000 0.0000
Hg: 0.5000 0.5000 0.5000
Au: 0.0000 0.0000 0.5000
Au: 0.0000 0.5000 0.0000
Au: 0.5000 0.0000 0.0000



No. 8
Material: Sm8Mg2Tl
Method: DFT, PBE
State: relaxed

Summary:
Crystal system = monoclinic
Energy of formation from the pure elements = -92 meV per atom
SG = C2/m, No. 12
Density = 7.06 g cm⁻³
E_tot = -4.029 eV per atom

Unit cell a=8.7766 b=8.7766 c=8.7552 alpha=119.39 beta=119.39 gamma=36.38
Element x y z (fractional)
Sm: 0.0684 0.0684 0.2200
Sm: 0.1368 0.1368 0.6833
Sm: 0.3184 0.3184 0.5542
Sm: 0.4095 0.4095 0.0498
Sm: 0.5905 0.5905 0.9502
Sm: 0.6816 0.6816 0.4458
Sm: 0.8632 0.8632 0.3167
Sm: 0.9316 0.9316 0.7800
Mg: 0.2290 0.2290 0.1146
Mg: 0.7710 0.7710 0.8854
Tl: 0.5000 0.5000 0.5000



No. 9
Material: Ce2Ni12As7
Method: DFT, PBE
State: relaxed

Summary:
Crystal system = hexagonal
Energy of formation from the pure elements = -531 meV per atom
SG = P-6, No. 174
Density = 8.44 g cm⁻³
Energy relative to the lowest polymorph listed for this composition = 0 meV per atom
E_tot = -5.950 eV per atom

Unit cell a=9.3909 b=9.3909 c=3.8867 alpha=90.00 beta=90.00 gamma=120.00
Element x y z (fractional)
Ce: 0.0000 0.0000 0.0000
Ce: 0.3333 0.6667 0.5000
Ni: 0.0448 0.2857 0.5000
Ni: 0.1059 0.7168 0.0000
Ni: 0.2409 0.9552 0.5000
Ni: 0.2832 0.3891 0.0000
Ni: 0.3876 0.1849 0.0000
Ni: 0.5558 0.4314 0.5000
Ni: 0.5686 0.1244 0.5000
Ni: 0.6109 0.8941 0.0000
Ni: 0.7143 0.7591 0.5000
Ni: 0.7973 0.6124 0.0000
Ni: 0.8151 0.2027 0.0000
Ni: 0.8756 0.4442 0.5000
As: 0.0663 0.4470 0.0000
As: 0.2647 0.2284 0.5000
As: 0.3807 0.9337 0.0000
As: 0.5530 0.6193 0.0000
As: 0.6667 0.3333 0.0000
As: 0.7716 0.0363 0.5000
As: 0.9637 0.7353 0.5000



No. 10
Material: Dy3HoRh
Method: DFT, PBE
State: relaxed

Summary:
Crystal system = monoclinic
Energy of formation from the pure elements = -394 meV per atom
SG = Cm, No. 8
Density = 9.06 g cm⁻³
Energy relative to the lowest polymorph listed for this composition = 0 meV per atom
E_tot = -5.541 eV per atom

Unit cell a=6.2611 b=6.2611 c=13.6589 alpha=114.08 beta=114.08 gamma=34.88
Element x y z (fractional)
Dy: 0.0000 0.0000 0.0000
Dy: 0.0140 0.0140 0.3617
Dy: 0.3466 0.3466 0.4752
Dy: 0.4545 0.4545 0.7555
Dy: 0.6631 0.6631 0.2384
Dy: 0.6769 0.6769 0.6011
Ho: 0.2223 0.2223 0.8458
Ho: 0.3304 0.3304 0.1248
Rh: 0.0150 0.0150 0.6310
Rh: 0.6631 0.6631 0.9709



No. 11
Material: Ti5Ga4Sn
Method: DFT, PBE
State: relaxed

Summary:
Crystal system = tetragonal
Energy of formation from the pure elements = -68 meV per atom
SG = I4/m, No. 87
Density = 5.68 g cm⁻³
E_tot = -5.626 eV per atom

Unit cell a=6.4906 b=6.4906 c=6.4906 alpha=99.64 beta=99.64 gamma=131.69
Element x y z (fractional)
Ti: 0.0000 0.0000 0.0000
Ti: 0.1864 0.4017 0.5881
Ti: 0.4017 0.8136 0.2152
Ti: 0.5983 0.1864 0.7848
Ti: 0.8136 0.5983 0.4119
Ga: 0.1066 0.7048 0.8114
Ga: 0.2952 0.1066 0.4017
Ga: 0.7048 0.8934 0.5983
Ga: 0.8934 0.2952 0.1886
Sn: 0.5000 0.5000 0.0000



No. 12
Material: GeBi2Pd
Method: DFT, PBE
State: relaxed

Summary:
Crystal system = tetragonal
Energy of formation from the pure elements = 106 meV per atom
SG = I-42d, No. 122
Density = 7.74 g cm⁻³
E_tot = -4.287 eV per atom

Unit cell a=7.7035 b=7.7035 c=7.7035 alpha=130.78 beta=130.78 gamma=72.17
Element x y z (fractional)
Ge: 0.0000 0.0000 0.0000
Ge: 0.7500 0.2500 0.5000
Bi: 0.1420 0.6250 0.0170
Bi: 0.3750 0.3920 0.5170
Bi: 0.6080 0.1250 0.9830
Bi: 0.8750 0.8580 0.4830
Pd: 0.2500 0.7500 0.5000
Pd: 0.5000 0.5000 0.0000



No. 13
Material: CuSnAu3
Method: DFT, PBE
State: relaxed

Summary:
Crystal system = cubic
Energy of formation from the pure elements = 328 meV per atom
SG = Pm-3m, No. 221
Density = 11.40 g cm⁻³
Energy relative to the lowest polymorph listed for this composition = 361 meV per atom
E_tot = -3.258 eV per atom

Unit cell a=4.8292 b=4.8292 c=4.8292 alpha=90.00 beta=90.00 gamma=90.00
Element x y z (fractional)
Cu: 0.0000 0.0000 0.0000
Sn: 0.5000 0.5000 0.5000
Au: 0.0000 0.0000 0.5000
Au: 0.0000 0.5000 0.0000
Au: 0.5000 0.0000 0.0000



No. 14
Material: YBePd2Pt
Method: DFT, PBE
State: relaxed

Summary:
Crystal system = tetragonal
Energy of formation from the pure elements = -769 meV per atom
SG = P4/mmm, No. 123
Density = 10.09 g cm⁻³
E_tot = -6.093 eV per atom

Unit cell a=4.3576 b=4.3576 c=4.3840 alpha=90.00 beta=90.00 gamma=90.00
Element x y z (fractional)
Y: 0.0000 0.0000 0.0000
Be: 0.5000 0.5000 0.5000
Pd: 0.0000 0.5000 0.5000
Pd: 0.5000 0.0000 0.5000
Pt: 0.5000 0.5000 0.0000



No. 15
Material: Ce5In2Ru
Method: DFT, PBE
State: relaxed

Summary:
Crystal system = tetragonal
Energy of formation from the pure elements = -182 meV per atom
SG = I4mm, No. 107
Density = 8.30 g cm⁻³
E_tot = -5.735 eV per atom

Unit cell a=6.6079 b=6.6079 c=6.6079 alpha=119.22 beta=119.22 gamma=91.36
Element x y z (fractional)
Ce: 0.0000 0.0000 0.0000
Ce: 0.0630 0.0630 0.5344
Ce: 0.0630 0.5285 0.0000
Ce: 0.5285 0.0630 0.0000
Ce: 0.5285 0.5285 0.4656
In: 0.0513 0.5513 0.5000
In: 0.5513 0.0513 0.5000
Ru: 0.6603 0.6603 0.0000



No. 16
Material: SiNiPt2
Method: DFT, PBE
State: relaxed

Summary:
Crystal system = trigonal
SG = R-3m, No. 166
Formation energy (no corrections) = -0.23 eV/atom
Density = 13.99 g cm⁻³
E_tot = -6.056 eV per atom

Unit cell a=8.1490 b=8.1490 c=8.1490 alpha=20.23 beta=20.23 gamma=20.23
Element x y z (fractional)
Si: 0.0000 0.0000 0.0000
Ni: 0.5000 0.5000 0.5000
Pt: 0.2556 0.2556 0.2556
Pt: 0.7444 0.7444 0.7444



No. 17
Material: K2LaPuTe4
Method: DFT, PBE
State: relaxed

Summary:
Crystal system = monoclinic
SG = P2/m, No. 10
Formation energy (no corrections) = -1.29 eV/atom
Density = 5.24 g cm⁻³
E_tot = -5.547 eV per atom

Unit cell a=8.0710 b=4.6548 c=8.6219 alpha=90.00 beta=108.25 gamma=90.00
Element x y z (fractional)
K: 0.0000 0.0000 0.0000
K: 0.5000 0.5000 0.0000
La: 0.0000 0.5000 0.5000
Pu: 0.5000 0.0000 0.5000
Te: 0.2440 0.0000 0.7153
Te: 0.2706 0.5000 0.2903
Te: 0.7294 0.5000 0.7097
Te: 0.7560 0.0000 0.2847



No. 18
Material: HgPW2
Method: DFT, PBE
State: relaxed

Summary:
Crystal system = cubic
Energy of formation from the pure elements = 780 meV per atom
SG = Fm-3m, No. 225
Density = 15.57 g cm⁻³
Energy relative to the lowest polymorph listed for this composition = 473 meV per atom
E_tot = -7.125 eV per atom

Unit cell a=4.4875 b=4.4875 c=4.4875 alpha=60.00 beta=60.00 gamma=60.00
Element x y z (fractional)
Hg: 0.0000 0.0000 0.0000
P: 0.5000 0.5000 0.5000
W: 0.2500 0.2500 0.2500
W: 0.7500 0.7500 0.7500



No. 19
Material: Sc2HN
Method: DFT, PBE
State: relaxed

Summary:
Crystal system = orthorhombic
SG = Pmmn, No. 59
Density = 3.61 g cm⁻³
E_tot = -6.960 eV per atom

Unit cell a=3.1752 b=5.5825 c=5.4449 alpha=90.00 beta=90.00 gamma=90.00
Element x y z (fractional)
Sc: 0.2500 0.0066 0.2331
Sc: 0.2500 0.4934 0.2331
Sc: 0.7500 0.5066 0.7669
Sc: 0.7500 0.9934 0.7669
H: 0.2500 0.2500 0.5928
H: 0.7500 0.7500 0.4072
N: 0.2500 0.7500 0.9272
N: 0.7500 0.2500 0.0728



No. 20
Material: MgCdNi3
Method: DFT, PBE
State: relaxed

Summary:
Crystal system = cubic
Energy of formation from the pure elements = 900 meV per atom
SG = Pm-3m, No. 221
Density = 6.19 g cm⁻³
Energy relative to the lowest polymorph listed for this composition = 0 meV per atom
E_tot = -3.071 eV per atom

Unit cell a=4.3785 b=4.3785 c=4.3785 alpha=90.00 beta=90.00 gamma=90.00
Element x y z (fractional)
Mg: 0.0000 0.0000 0.0000
Cd: 0.5000 0.5000 0.5000
Ni: 0.0000 0.0000 0.5000
Ni: 0.0000 0.5000 0.0000
Ni: 0.5000 0.0000 0.0000